1.
Crystalline NdP2H2CO6 at its relaxed geometry, computed with GGA-PBE.

Cell lengths 8.280, 8.280, 5.326 Å; angles 80.30, 80.30, 120.26 degrees
Site moments in Bohr magnetons follow the coordinates.
Atoms (fractional coordinates):
O 0.028 0.399 0.703  0.08
O 0.034 0.269 0.173  0.03
O 0.269 0.034 0.173  0.03
Nd 0.228 0.772 0.500  0.01
H 0.314 0.314 0.530  0.00
O 0.966 0.731 0.827  0.03
P 0.371 0.149 0.880  -0.01
O 0.399 0.028 0.703  0.08
C 0.231 0.231 0.741  0.00
O 0.411 0.674 0.186  0.32
P 0.851 0.629 0.120  -0.01
H 0.097 0.097 0.744  0.00
O 0.972 0.601 0.297  0.08
H 0.686 0.686 0.470  0.00
O 0.674 0.411 0.186  0.32
O 0.731 0.966 0.827  0.03
O 0.589 0.326 0.814  0.32
O 0.601 0.972 0.297  0.08
P 0.629 0.851 0.120  -0.01
O 0.326 0.589 0.814  0.32
P 0.149 0.371 0.880  -0.01
Nd 0.772 0.228 0.500  0.01
H 0.903 0.903 0.256  0.00
C 0.769 0.769 0.259  0.00

2.
Crystalline NdPH5CO7 at its relaxed geometry, computed with GGA-PBE.

Cell lengths 6.723, 7.110, 7.729 Å; angles 110.18, 95.88, 89.18 degrees
Atoms (fractional coordinates):
O 0.560 0.772 0.501
O 0.521 0.762 0.108
O 0.802 0.065 0.964
H 0.289 0.331 0.369
H 0.535 0.758 0.369
P 0.325 0.743 0.983
C 0.932 0.089 0.499
O 0.058 0.759 0.353
O 0.180 0.574 0.977
H 0.711 0.669 0.631
H 0.560 0.168 0.442
O 0.206 0.374 0.275
O 0.820 0.426 0.023
Nd 0.132 0.224 0.938
O 0.942 0.241 0.647
H 0.465 0.242 0.631
H 0.625 0.297 0.199
P 0.675 0.257 0.017
C 0.068 0.911 0.501
Nd 0.868 0.776 0.062
O 0.198 0.935 0.036
O 0.180 0.932 0.648
O 0.794 0.626 0.725
O 0.440 0.228 0.499
H 0.173 0.517 0.330
H 0.827 0.483 0.670
H 0.375 0.703 0.801
H 0.440 0.832 0.558
O 0.820 0.068 0.352
O 0.479 0.238 0.892

3.
Crystalline Nd6HC2S3 at its relaxed geometry, computed with GGA-PBE.

Cell lengths 3.903, 7.980, 8.804 Å; angles 104.16, 102.81, 90.00 degrees
Atoms (fractional coordinates):
C 0.164 0.329 0.327
Nd 0.334 0.890 0.667
Nd 0.989 0.742 0.977
Nd 0.674 0.566 0.348
Nd 0.326 0.434 0.652
Nd 0.666 0.110 0.333
S 0.165 0.834 0.329
C 0.836 0.671 0.673
H 0.500 0.000 0.000
Nd 0.011 0.258 0.023
S 0.835 0.166 0.671
S 0.500 0.500 0.000

4.
Crystalline PrPH5CO7 at its relaxed geometry, computed with GGA-PBE.

Cell lengths 6.767, 7.154, 7.737 Å; angles 109.98, 95.86, 88.98 degrees
Atoms (fractional coordinates):
O 0.820 0.426 0.022
O 0.180 0.574 0.978
O 0.198 0.934 0.036
O 0.794 0.625 0.722
H 0.710 0.668 0.629
H 0.826 0.483 0.667
O 0.818 0.066 0.353
O 0.206 0.375 0.278
H 0.437 0.830 0.556
Pr 0.134 0.224 0.938
O 0.802 0.066 0.964
C 0.931 0.088 0.499
O 0.482 0.239 0.892
O 0.182 0.934 0.647
H 0.563 0.170 0.444
H 0.467 0.243 0.632
Pr 0.866 0.776 0.062
H 0.374 0.703 0.802
P 0.324 0.743 0.983
C 0.069 0.912 0.501
H 0.290 0.332 0.371
P 0.676 0.257 0.017
O 0.943 0.240 0.645
H 0.533 0.757 0.368
H 0.626 0.297 0.198
O 0.518 0.761 0.108
O 0.057 0.760 0.355
O 0.443 0.231 0.501
O 0.557 0.769 0.499
H 0.174 0.517 0.333

5.
Crystalline SmP2H2CO6 at its relaxed geometry, computed with GGA-PBE.

Cell lengths 8.222, 8.222, 5.285 Å; angles 80.29, 80.29, 120.47 degrees
Site moments in Bohr magnetons follow the coordinates.
Atoms (fractional coordinates):
P 0.148 0.371 0.381  -0.01
O 0.974 0.601 0.798  0.07
O 0.268 0.032 0.676  0.02
O 0.601 0.974 0.798  0.07
O 0.592 0.326 0.312  0.32
P 0.852 0.629 0.619  -0.01
O 0.026 0.399 0.202  0.07
O 0.326 0.592 0.312  0.32
O 0.032 0.268 0.676  0.02
Sm 0.228 0.772 0.000  0.01
O 0.674 0.408 0.688  0.32
H 0.315 0.315 0.028  0.00
C 0.231 0.231 0.241  0.00
C 0.769 0.769 0.759  0.00
Sm 0.772 0.228 0.000  0.01
P 0.629 0.852 0.619  -0.01
H 0.685 0.685 0.972  0.00
O 0.732 0.968 0.324  0.02
O 0.968 0.732 0.324  0.02
O 0.408 0.674 0.688  0.32
H 0.905 0.905 0.757  0.00
P 0.371 0.148 0.381  -0.01
O 0.399 0.026 0.202  0.07
H 0.095 0.095 0.243  0.00

6.
Crystalline YbPH5CO7 at its relaxed geometry, computed with GGA-PBE.

Cell lengths 6.583, 7.135, 7.967 Å; angles 115.98, 97.90, 89.98 degrees
Site moments in Bohr magnetons follow the coordinates.
Atoms (fractional coordinates):
H 0.502 0.801 0.400  0.00
O 0.542 0.838 0.186  0.00
H 0.594 0.342 0.137  0.00
O 0.208 0.939 0.036  0.00
O 0.901 0.647 0.358  0.00
O 0.099 0.353 0.642  0.00
H 0.498 0.199 0.600  0.00
C 0.973 0.779 0.506  -0.01
O 0.469 0.779 0.508  0.00
H 0.406 0.658 0.863  0.00
H 0.453 0.917 0.615  0.00
H 0.683 0.464 0.623  0.00
O 0.046 0.921 0.650  0.00
O 0.734 0.613 0.691  0.00
H 0.643 0.683 0.628  0.00
O 0.458 0.162 0.814  0.00
Yb 0.860 0.762 0.022  0.25
C 0.027 0.221 0.494  -0.01
H 0.357 0.317 0.372  0.00
Yb 0.140 0.238 0.978  0.25
P 0.340 0.763 0.041  0.00
P 0.660 0.237 0.959  0.00
O 0.266 0.387 0.309  0.00
O 0.200 0.607 0.067  0.00
O 0.800 0.393 0.933  0.00
O 0.531 0.221 0.492  0.00
H 0.547 0.083 0.385  0.00
H 0.317 0.536 0.377  0.00
O 0.792 0.061 0.964  0.00
O 0.954 0.079 0.350  0.00

7.
Crystalline PaHC2O8 at its relaxed geometry, computed with GGA-PBE.

Cell lengths 4.257, 5.370, 5.797 Å; angles 63.43, 68.46, 66.65 degrees
Site moments in Bohr magnetons follow the coordinates.
Atoms (fractional coordinates):
C 0.696 0.781 0.826  -0.01
O 0.342 0.402 0.915  0.03
O 0.658 0.598 0.085  0.03
C 0.304 0.219 0.174  -0.01
O 0.868 0.986 0.768  0.23
O 0.132 0.014 0.232  0.23
Pa 0.500 0.500 0.500  -0.02
H 0.000 0.000 0.000  -0.01
O 0.378 0.986 0.768  0.23
O 0.141 0.374 0.344  0.04
O 0.622 0.014 0.232  0.23
O 0.859 0.626 0.656  0.04

8.
Crystalline PaH2CO6 at its relaxed geometry, computed with GGA-PBE.

Cell lengths 5.712, 6.890, 5.893 Å; angles 89.56, 105.41, 141.85 degrees
Site moments in Bohr magnetons follow the coordinates.
Atoms (fractional coordinates):
C 0.070 0.059 0.217  0.00
O 0.414 0.810 0.421  0.07
O 0.871 0.825 0.322  0.01
O 0.354 0.442 0.719  0.10
O 0.345 0.151 0.167  0.05
H 0.661 0.773 0.348  0.00
H 0.538 0.444 0.741  0.00
O 0.809 0.439 0.715  0.16
Pa 0.913 0.346 0.477  0.04
O 0.990 0.189 0.175  0.06

9.
Crystalline Pm6HC2O3 at its relaxed geometry, computed with GGA-PBE.

Cell lengths 6.315, 6.315, 6.276 Å; angles 99.69, 99.69, 120.03 degrees
Atoms (fractional coordinates):
Pm 0.267 0.267 0.742
Pm 0.915 0.565 0.747
Pm 0.435 0.085 0.253
O 0.173 0.827 0.500
Pm 0.085 0.435 0.253
H 0.000 0.000 0.000
O 0.827 0.173 0.500
C 0.666 0.334 0.000
Pm 0.733 0.733 0.258
Pm 0.565 0.915 0.747
O 0.500 0.500 0.500
C 0.334 0.666 0.000

10.
Crystalline Pm4HCO2 at its relaxed geometry, computed with GGA-PBE.

Cell lengths 5.057, 5.057, 6.337 Å; angles 113.52, 113.52, 90.00 degrees
Atoms (fractional coordinates):
H 0.437 0.437 0.000
Pm 0.700 0.700 0.526
Pm 0.437 0.937 0.000
O 0.687 0.187 0.500
O 0.187 0.687 0.500
Pm 0.937 0.437 0.000
Pm 0.174 0.174 0.474
C 0.937 0.937 0.000

11.
Crystalline Pm4HC2O at its relaxed geometry, computed with GGA-PBE.

Cell lengths 5.176, 5.176, 6.382 Å; angles 113.93, 113.93, 90.00 degrees
Atoms (fractional coordinates):
O 0.500 0.500 0.000
Pm 0.749 0.749 0.499
Pm 0.251 0.251 0.501
Pm 0.012 0.512 0.024
H 0.750 0.250 0.500
Pm 0.488 0.988 0.976
C 0.250 0.750 0.500
C 0.000 0.000 0.000

12.
Crystalline Pm6H3C2O at its relaxed geometry, computed with GGA-PBE.

Cell lengths 6.330, 6.330, 6.333 Å; angles 99.56, 99.56, 120.08 degrees
Atoms (fractional coordinates):
O 0.000 0.000 0.000
Pm 0.590 0.923 0.769
Pm 0.256 0.256 0.769
Pm 0.744 0.744 0.231
H 0.175 0.825 0.500
C 0.334 0.666 0.000
H 0.500 0.500 0.500
Pm 0.923 0.590 0.769
Pm 0.077 0.410 0.231
C 0.666 0.334 0.000
H 0.825 0.175 0.500
Pm 0.410 0.077 0.231

Ordered spin magnetization results: 0.082 0.000 0.000 0.000 0.082 0.015 0.096 0.054 0.000 0.000 0.000 0.000; unit μB/atom.
Ordered total energy results: -165.935 -192.286 -76.541 -192.196 -165.997 -181.242 -85.274 -72.412 -84.168 -53.925 -52.866 -71.363; unit eV per cell.